[1]
## TbPm2PrNd6 (PBE)

Data for TbPm2PrNd6 after structural relaxation.

The structure belongs to space group C2/c (No. 15); the cell edges are 9.2414, 15.4263 and 9.9947 Å and the angles 90.00°, 99.31° and 90.00°. The distinct sites, in fractional coordinates, are Tb at (0.0000, 0.0204, 0.2500), Pm at (0.2393, 0.0497, 0.5423), Pr at (0.0000, 0.4045, 0.7500), Nd at (0.0660, 0.1838, 0.9442), Nd at (0.1031, 0.3975, 0.1215) and Nd at (0.2010, 0.2238, 0.3147).

The value obtained for the formation enthalpy at 0 K is 1.137 eV/f.u. The value obtained for the volume is 35.152 Å³ per atom. The mass density is 6.875 Mg/m³. The raw total energy comes out at -46.38 eV/f.u. The calculation puts the total moment at 0.00 μB per cell.



[2]
## Tb4Pm2PrNd (PBE)

Data for Tb4Pm2PrNd after structural relaxation.

The structure belongs to space group C2/c (No. 15); the cell edges are 13.7818, 13.2977 and 6.8685 Å and the angles 90.00°, 119.89° and 90.00°. The distinct sites, in fractional coordinates, are Tb at (0.0108, 0.2484, 0.0106), Tb at (0.2485, 0.9998, 0.4991), Pm at (0.0000, 0.0000, 0.0000), Pm at (0.2500, 0.2500, 0.0000), Pr at (0.0000, 0.5000, 0.0000) and Nd at (0.2500, 0.2500, 0.5000).

The value obtained for the formation enthalpy at 0 K is 3.183 eV/f.u. The value obtained for the volume is 34.105 Å³ per atom. The mass density is 7.369 Mg/m³. The raw total energy comes out at -34.39 eV/f.u. The calculation puts the total moment at 0.07 μB per cell.



[3]
## Tb3Pm6PrNd2 (PBE)

Data for Tb3Pm6PrNd2 after structural relaxation.

The structure belongs to space group C2/m (No. 12); the cell edges are 6.3083, 10.9258 and 12.0585 Å and the angles 90.00°, 100.06° and 90.00°. The distinct sites, in fractional coordinates, are Tb at (0.0000, 0.0000, 0.0000), Tb at (0.0000, 0.3333, 0.0000), Pm at (0.2485, 0.1668, 0.2461), Pm at (0.2488, 0.5000, 0.2462), Pr at (0.0000, 0.5000, 0.5000) and Nd at (0.0000, 0.1667, 0.5000).

The value obtained for the formation enthalpy at 0 K is 0.174 eV/f.u. The value obtained for the volume is 34.098 Å³ per atom. The mass density is 7.208 Mg/m³. The raw total energy comes out at -56.54 eV/f.u. The calculation puts the total moment at 0.00 μB per cell.



[4]
## Tb2Pm2Pr4Nd (PBE)

Data for Tb2Pm2Pr4Nd after structural relaxation.

The structure belongs to space group C2/m (No. 12); the cell edges are 15.5474, 5.1864 and 8.1757 Å and the angles 90.00°, 108.50° and 90.00°. The distinct sites, in fractional coordinates, are Tb at (0.1677, 0.0000, 0.4993), Pm at (0.1116, 0.5000, 0.1687), Pr at (0.0547, 0.0000, 0.8316), Pr at (0.2226, 0.5000, 0.8306) and Nd at (0.0000, 0.5000, 0.5000).

The value obtained for the formation enthalpy at 0 K is 0.136 eV/f.u. The value obtained for the volume is 34.731 Å³ per atom. The mass density is 6.990 Mg/m³. The raw total energy comes out at -42.51 eV/f.u. The calculation puts the total moment at 0.00 μB per cell.



[5]
## TbPmPr2Nd5 (PBE)

Data for TbPmPr2Nd5 after structural relaxation.

The structure belongs to space group I4/mcm (No. 140); the cell edges are 8.8501, 8.8501 and 16.2628 Å and the angles 90.00°, 90.00° and 90.00°. The distinct sites, in fractional coordinates, are Tb at (0.0000, 0.5000, 0.2500), Pm at (0.0000, 0.0000, 0.2500), Pr at (0.1192, 0.3808, 0.0000), Nd at (0.0000, 0.0000, 0.0000) and Nd at (0.2112, 0.2888, 0.3592).

The value obtained for the formation enthalpy at 0 K is 2.368 eV/f.u. The value obtained for the volume is 35.382 Å³ per atom. The mass density is 6.815 Mg/m³. The raw total energy comes out at -40.41 eV/f.u. The calculation puts the total moment at 0.00 μB per cell.



[6]
## Pm3PrNd3Te8 (PBE)

Data for Pm3PrNd3Te8 after structural relaxation.

The structure belongs to space group R-3m (No. 166, hexagonal axes); the cell edges are 8.9366, 8.9366 and 21.8805 Å and the angles 90.00°, 90.00° and 120.00°. The distinct sites, in fractional coordinates, are Pm at (0.0000, 0.5000, 0.0000), Pr at (0.0000, 0.0000, 0.5000), Nd at (0.0000, 0.5000, 0.5000), Te at (0.0000, 0.0000, 0.2508) and Te at (0.0090, 0.5045, 0.7469).

As for the uncorrected formation energy: -140.7 kJ/mol of atoms. The value obtained for the volume is 33.630 Å³ per atom. The mass density is 6.680 Mg/m³. The raw total energy comes out at -80.34 eV/f.u. The calculation puts the total moment at 0.00 μB per cell.



[7]
## PmPrNdTe3 (PBE)

Data for PmPrNdTe3 after structural relaxation.

The structure belongs to space group P2_1/m (No. 11); the cell edges are 7.9130, 4.3166 and 11.6291 Å and the angles 90.00°, 102.87° and 90.00°. The distinct sites, in fractional coordinates, are Pm at (0.2415, 0.2500, 0.4404), Pr at (0.3303, 0.7500, 0.7992), Nd at (0.1144, 0.7500, 0.1267), Te at (0.0537, 0.2500, 0.6534), Te at (0.2941, 0.2500, 0.9991) and Te at (0.4571, 0.7500, 0.3308).

As for the uncorrected formation energy: -131.9 kJ/mol of atoms. The value obtained for the volume is 32.270 Å³ per atom. The mass density is 6.972 Mg/m³. The raw total energy comes out at -31.93 eV/f.u. The calculation puts the total moment at 0.00 μB per cell.



[8]
## Pm3Pr2NdTe6 (PBE)

Data for Pm3Pr2NdTe6 after structural relaxation.

The structure belongs to space group C2/m (No. 12); the cell edges are 19.5774, 4.4698 and 9.0382 Å and the angles 90.00°, 103.31° and 90.00°. The distinct sites, in fractional coordinates, are Pm at (0.0000, 0.0000, 0.0000), Pm at (0.1674, 0.5000, 0.3334), Pr at (0.1668, 0.5000, 0.8335), Nd at (0.0000, 0.0000, 0.5000), Te at (0.0015, 0.5000, 0.2490), Te at (0.1655, 0.0000, 0.0862) and Te at (0.1669, 0.0000, 0.5799).

As for the uncorrected formation energy: -137.2 kJ/mol of atoms. The value obtained for the volume is 32.070 Å³ per atom. The mass density is 7.019 Mg/m³. The raw total energy comes out at -64.49 eV/f.u. The calculation puts the total moment at 0.00 μB per cell.



[9]
## Pm3Pr3NdTe8 (PBE)

Data for Pm3Pr3NdTe8 after structural relaxation.

The structure belongs to space group R-3m (No. 166, hexagonal axes); the cell edges are 8.9575, 8.9575 and 21.9888 Å and the angles 90.00°, 90.00° and 120.00°. The distinct sites, in fractional coordinates, are Pm at (0.0000, 0.5000, 0.0000), Pr at (0.0000, 0.5000, 0.5000), Nd at (0.0000, 0.0000, 0.0000), Te at (0.0000, 0.0000, 0.2516) and Te at (0.0096, 0.5048, 0.2492).

As for the uncorrected formation energy: -141.0 kJ/mol of atoms. The value obtained for the volume is 33.954 Å³ per atom. The mass density is 6.595 Mg/m³. The raw total energy comes out at -80.42 eV/f.u. The calculation puts the total moment at 0.00 μB per cell.



[10]
## Pm3PrNd4Te8 (PBE)

Data for Pm3PrNd4Te8 after structural relaxation.

The structure belongs to space group R-3m (No. 166, hexagonal axes); the cell edges are 8.9862, 8.9862 and 21.9935 Å and the angles 90.00°, 90.00° and 120.00°. The distinct sites, in fractional coordinates, are Pm at (0.0000, 0.5000, 0.0000), Pr at (0.0000, 0.0000, 0.0000), Nd at (0.0000, 0.0000, 0.5000), Nd at (0.0000, 0.5000, 0.5000), Te at (0.0000, 0.0000, 0.2509) and Te at (0.0023, 0.5012, 0.2503).

As for the uncorrected formation energy: -136.5 kJ/mol of atoms. The value obtained for the volume is 32.038 Å³ per atom. The mass density is 7.041 Mg/m³. The raw total energy comes out at -85.87 eV/f.u. The calculation puts the total moment at 0.00 μB per cell.



[11]
## PmPr3Nd2Te6 (PBE)

Data for PmPr3Nd2Te6 after structural relaxation.

The structure belongs to space group C2/m (No. 12); the cell edges are 19.6394, 4.4882 and 9.0676 Å and the angles 90.00°, 103.18° and 90.00°. The distinct sites, in fractional coordinates, are Pm at (0.0000, 0.0000, 0.0000), Pr at (0.0000, 0.0000, 0.5000), Pr at (0.1674, 0.5000, 0.8330), Nd at (0.1669, 0.5000, 0.3333), Te at (0.0003, 0.5000, 0.2467), Te at (0.1651, 0.0000, 0.0839) and Te at (0.1671, 0.0000, 0.5815).

As for the uncorrected formation energy: -138.0 kJ/mol of atoms. The value obtained for the volume is 32.426 Å³ per atom. The mass density is 6.921 Mg/m³. The raw total energy comes out at -64.63 eV/f.u. The calculation puts the total moment at 0.00 μB per cell.



[12]
## PmPrNd3Th (PBE)

Data for PmPrNd3Th after structural relaxation.

The structure belongs to space group P2_1/m (No. 11); the cell edges are 8.2006, 5.1752 and 10.3787 Å and the angles 90.00°, 108.39° and 90.00°. The distinct sites, in fractional coordinates, are Pm at (0.0009, 0.2500, 0.1300), Pr at (0.3217, 0.7500, 0.7042), Nd at (0.3211, 0.2500, 0.4566), Nd at (0.3281, 0.2500, 0.9550), Nd at (0.3282, 0.7500, 0.2087) and Th at (0.9997, 0.2500, 0.6208).

The value obtained for the formation enthalpy at 0 K is 0.200 eV/f.u. The value obtained for the volume is 34.832 Å³ per atom. The mass density is 7.554 Mg/m³. The raw total energy comes out at -31.05 eV/f.u. The calculation puts the total moment at 0.00 μB per cell.



[13]
## Pm4PrNd2Th (PBE)

Data for Pm4PrNd2Th after structural relaxation.

The structure belongs to space group P2/m (No. 10); the cell edges are 6.3332, 3.6590 and 12.1280 Å and the angles 90.00°, 100.16° and 90.00°. The distinct sites, in fractional coordinates, are Pm at (0.2423, 0.0000, 0.2439), Pm at (0.2474, 0.5000, 0.7526), Pr at (0.0000, 0.0000, 0.5000), Nd at (0.5000, 0.0000, 0.0000), Nd at (0.5000, 0.5000, 0.5000) and Th at (0.0000, 0.5000, 0.0000).

The value obtained for the formation enthalpy at 0 K is 0.239 eV/f.u. The value obtained for the volume is 34.580 Å³ per atom. The mass density is 7.452 Mg/m³. The raw total energy comes out at -40.50 eV/f.u. The calculation puts the total moment at 0.00 μB per cell.



[14]
## Pm2PrNd4Th (PBE)

Data for Pm2PrNd4Th after structural relaxation.

The structure belongs to space group P2/m (No. 10); the cell edges are 6.3363, 3.6628 and 12.1921 Å and the angles 90.00°, 100.07° and 90.00°. The distinct sites, in fractional coordinates, are Pm at (0.0000, 0.0000, 0.0000), Pm at (0.0000, 0.5000, 0.5000), Pr at (0.5000, 0.0000, 0.5000), Nd at (0.2523, 0.5000, 0.2471), Nd at (0.2571, 0.0000, 0.7555) and Th at (0.5000, 0.5000, 0.0000).

The value obtained for the formation enthalpy at 0 K is 0.258 eV/f.u. The value obtained for the volume is 34.826 Å³ per atom. The mass density is 7.390 Mg/m³. The raw total energy comes out at -40.51 eV/f.u. The calculation puts the total moment at 0.00 μB per cell.



[15]
## PmPr5Nd2Th (PBE)

Data for PmPr5Nd2Th after structural relaxation.

The structure belongs to space group Cmc2_1 (No. 36); the cell edges are 5.8110, 20.8196 and 10.7063 Å and the angles 90.00°, 90.00° and 90.00°. The distinct sites, in fractional coordinates, are Pm at (0.0000, 0.0928, 0.0000), Pr at (0.0000, 0.0189, 0.2887), Pr at (0.0000, 0.1142, 0.5704), Pr at (0.0000, 0.2063, 0.2498), Pr at (0.0000, 0.2243, 0.8613), Pr at (0.0000, 0.4847, 0.5655), Nd at (0.0000, 0.3839, 0.8621), Nd at (0.0000, 0.3845, 0.2780) and Th at (0.0000, 0.3013, 0.5577).

The value obtained for the formation enthalpy at 0 K is 1.332 eV/f.u. The value obtained for the volume is 35.980 Å³ per atom. The mass density is 7.026 Mg/m³. The raw total energy comes out at -44.27 eV/f.u. The calculation puts the total moment at 0.00 μB per cell.



[16]
## PmPrNdTh (PBE)

Data for PmPrNdTh after structural relaxation.

The structure belongs to space group F-43m (No. 216); the cell edges are 8.2031, 8.2031 and 8.2031 Å and the angles 90.00°, 90.00° and 90.00°. The distinct sites, in fractional coordinates, are Pm at (0.0000, 0.0000, 0.0000), Pr at (0.2500, 0.2500, 0.7500), Nd at (0.0000, 0.0000, 0.5000) and Th at (0.2500, 0.2500, 0.2500).

The energy above the most stable polymorph in this dataset comes out at 155 meV/atom. The value obtained for the formation enthalpy at 0 K is 0.745 eV/f.u. The value obtained for the volume is 34.499 Å³ per atom. The mass density is 7.968 Mg/m³. The raw total energy comes out at -20.97 eV/f.u. The calculation puts the total moment at 0.01 μB per cell.



[17]
## PmPr2NdTh (PBE)

Data for PmPr2NdTh after structural relaxation.

The structure belongs to space group P2/c (No. 13); the cell edges are 6.4731, 8.5351 and 6.7105 Å and the angles 90.00°, 103.83° and 90.00°. The distinct sites, in fractional coordinates, are Pm at (0.0000, 0.1615, 0.2500), Pr at (0.2847, 0.1721, 0.8411), Nd at (0.5000, 0.4107, 0.2500) and Th at (0.0000, 0.5000, 0.0000).

The value obtained for the formation enthalpy at 0 K is 1.161 eV/f.u. The value obtained for the volume is 35.999 Å³ per atom. The mass density is 7.409 Mg/m³. The raw total energy comes out at -25.34 eV/f.u. The calculation puts the total moment at 0.00 μB per cell.



[18]
## PmPrNdTh (PBE)

Data for PmPrNdTh after structural relaxation.

The structure belongs to space group P4mm (No. 99); the cell edges are 3.6302, 3.6302 and 10.4804 Å and the angles 90.00°, 90.00° and 90.00°. The distinct sites, in fractional coordinates, are Pm at (0.0000, 0.0000, 0.0000), Pr at (0.5000, 0.5000, 0.2626), Nd at (0.0000, 0.0000, 0.5279) and Th at (0.5000, 0.5000, 0.7648).

The energy above the most stable polymorph in this dataset comes out at 0 meV/atom. The value obtained for the formation enthalpy at 0 K is 0.125 eV/f.u. The value obtained for the volume is 34.528 Å³ per atom. The mass density is 7.961 Mg/m³. The raw total energy comes out at -21.59 eV/f.u. The calculation puts the total moment at 0.00 μB per cell.



[19]
## Pm2Pr4NdTh (PBE)

Data for Pm2Pr4NdTh after structural relaxation.

The structure belongs to space group P2/m (No. 10); the cell edges are 6.3612, 3.6729 and 12.2340 Å and the angles 90.00°, 100.03° and 90.00°. The distinct sites, in fractional coordinates, are Pm at (0.0000, 0.0000, 0.0000), Pm at (0.0000, 0.5000, 0.5000), Pr at (0.2529, 0.0000, 0.7475), Pr at (0.2560, 0.5000, 0.2550), Nd at (0.5000, 0.5000, 0.0000) and Th at (0.5000, 0.0000, 0.5000).

The value obtained for the formation enthalpy at 0 K is 0.281 eV/f.u. The value obtained for the volume is 35.183 Å³ per atom. The mass density is 7.256 Mg/m³. The raw total energy comes out at -40.53 eV/f.u. The calculation puts the total moment at 0.00 μB per cell.



[20]
## PmPrNdTh2 (PBE)

Data for PmPrNdTh2 after structural relaxation.

The structure belongs to space group Cmcm (No. 63); the cell edges are 6.7489, 15.9984 and 6.7487 Å and the angles 90.00°, 90.00° and 90.00°. The distinct sites, in fractional coordinates, are Pm at (0.0000, 0.1525, 0.2500), Pr at (0.0000, 0.2270, 0.7500), Nd at (0.0000, 0.3493, 0.2500) and Th at (0.2465, 0.0000, 0.0000).

The value obtained for the formation enthalpy at 0 K is 1.824 eV/f.u. The value obtained for the volume is 36.434 Å³ per atom. The mass density is 8.151 Mg/m³. The raw total energy comes out at -27.31 eV/f.u. The calculation puts the total moment at 0.00 μB per cell.